Entry 1:
Entry from the Alexandria database: a relaxed La6Tb16Tm7 crystal (PBE-GGA).

a b c (Å): 11.221 11.221 11.221
angles (deg): 60.00 60.00 60.00
Element x y z (fractional)
1 Tb 0.873 0.873 0.380
2 Tb 0.127 0.127 0.620
3 Tb 0.347 0.347 0.347
4 Tb 0.347 0.958 0.347
5 Tb 0.620 0.127 0.127
6 Tb 0.873 0.380 0.873
7 Tb 0.127 0.127 0.127
8 Tb 0.380 0.873 0.873
9 Tb 0.347 0.347 0.958
10 Tb 0.042 0.653 0.653
11 Tb 0.653 0.653 0.042
12 Tb 0.653 0.653 0.653
13 Tb 0.127 0.620 0.127
14 Tb 0.653 0.042 0.653
15 Tb 0.873 0.873 0.873
16 Tb 0.958 0.347 0.347
17 La 0.725 0.275 0.275
18 La 0.275 0.725 0.275
19 La 0.725 0.725 0.275
20 La 0.275 0.725 0.725
21 La 0.725 0.275 0.725
22 La 0.275 0.275 0.725
23 Tm 0.000 0.000 0.500
24 Tm 0.000 0.500 0.500
25 Tm 0.500 0.500 0.000
26 Tm 0.000 0.000 0.000
27 Tm 0.000 0.500 0.000
28 Tm 0.500 0.000 0.000
29 Tm 0.500 0.000 0.500

Values from the calculation:
electronic total energy = -4.428 eV/atom
DFT formation energy = 0.2257 eV/atom
calculated density = 7.58 g/cm3

---

Entry 2:
Entry from the Alexandria database: a relaxed LaTb3Tm6 crystal (PBE-GGA).

a b c (Å): 9.790 9.790 6.839
angles (deg): 44.30 44.30 60.00
Element x y z (fractional)
1 Tm 0.072 0.401 0.798
2 Tm 0.729 0.072 0.798
3 Tm 0.235 0.901 0.299
4 Tm 0.901 0.566 0.299
5 Tm 0.566 0.235 0.299
6 Tm 0.401 0.729 0.798
7 La 0.900 0.900 0.301
8 Tb 0.399 0.399 0.802
9 Tb 0.646 0.646 0.061
10 Tb 0.152 0.152 0.545

Values from the calculation:
offset from the most stable computed form = 0.164 eV/atom
electronic total energy = -4.261 eV/atom
DFT formation energy = 0.3037 eV/atom
calculated density = 8.46 g/cm3

---

Entry 3:
Entry from the Alexandria database: a relaxed La3Tb2Tm4 crystal (PBE-GGA).

a b c (Å): 6.160 11.235 11.235
angles (deg): 63.40 63.10 63.10
Element x y z (fractional)
1 Tm 0.909 0.846 0.608
2 Tm 0.073 0.825 0.063
3 Tm 0.573 0.063 0.825
4 Tm 0.409 0.608 0.846
5 Tm 0.927 0.175 0.937
6 Tm 0.091 0.154 0.392
7 Tm 0.427 0.937 0.175
8 Tm 0.591 0.392 0.154
9 La 0.765 0.024 0.302
10 La 0.750 0.375 0.625
11 La 0.235 0.976 0.698
12 La 0.250 0.625 0.375
13 La 0.735 0.698 0.976
14 La 0.265 0.302 0.024
15 Tb 0.433 0.257 0.516
16 Tb 0.067 0.484 0.743
17 Tb 0.567 0.743 0.484
18 Tb 0.933 0.516 0.257

Values from the calculation:
offset from the most stable computed form = 0.080 eV/atom
electronic total energy = -4.551 eV/atom
DFT formation energy = 0.1074 eV/atom
calculated density = 7.95 g/cm3

---

Entry 4:
Entry from the Alexandria database: a relaxed La3Tb3Tm2 crystal (PBE-GGA).

a b c (Å): 5.074 5.141 10.863
angles (deg): 103.69 103.51 90.00
Element x y z (fractional)
1 Tb 0.129 0.129 0.257
2 Tb 0.871 0.871 0.743
3 Tb 0.000 0.500 0.000
4 La 0.374 0.374 0.747
5 La 0.500 0.000 0.000
6 La 0.626 0.626 0.253
7 Tm 0.749 0.249 0.498
8 Tm 0.251 0.751 0.502

Values from the calculation:
electronic total energy = -4.669 eV/atom
DFT formation energy = 0.0332 eV/atom
calculated density = 7.65 g/cm3

---

Entry 5:
Entry from the Alexandria database: a relaxed LaTb4Tm10 crystal (PBE-GGA).

a b c (Å): 6.433 9.608 9.608
angles (deg): 83.57 70.44 70.44
Element x y z (fractional)
1 Tm 0.880 0.579 0.162
2 Tm 0.750 0.500 0.500
3 Tm 0.621 0.421 0.838
4 Tm 0.120 0.421 0.838
5 Tm 0.542 0.838 0.579
6 Tm 0.042 0.838 0.579
7 Tm 0.958 0.162 0.421
8 Tm 0.458 0.162 0.421
9 Tm 0.379 0.579 0.162
10 Tm 0.250 0.500 0.500
11 La 0.000 0.000 0.000
12 Tb 0.568 0.106 0.759
13 Tb 0.432 0.894 0.241
14 Tb 0.673 0.759 0.894
15 Tb 0.327 0.241 0.106

Values from the calculation:
electronic total energy = -3.982 eV/atom
DFT formation energy = 0.5626 eV/atom
calculated density = 7.76 g/cm3

---

Entry 6:
Entry from the Alexandria database: a relaxed LaTb4Tm6 crystal (PBE-GGA).

a b c (Å): 7.779 7.779 8.391
angles (deg): 117.61 117.61 90.00
Element x y z (fractional)
1 Tm 0.425 0.949 0.373
2 Tm 0.500 0.000 0.000
3 Tm 0.000 0.500 0.000
4 Tm 0.051 0.051 0.627
5 Tm 0.575 0.575 0.627
6 Tm 0.949 0.425 0.373
7 La 0.500 0.500 0.000
8 Tb 0.240 0.240 0.146
9 Tb 0.094 0.760 0.854
10 Tb 0.760 0.094 0.854
11 Tb 0.906 0.906 0.146

Values from the calculation:
electronic total energy = -4.111 eV/atom
DFT formation energy = 0.4592 eV/atom
calculated density = 7.74 g/cm3

---

Entry 7:
Entry from the Alexandria database: a relaxed La8Tb3Tm2 crystal (PBE-GGA).

a b c (Å): 6.147 11.826 9.020
angles (deg): 130.96 73.18 90.00
Element x y z (fractional)
1 La 0.735 0.414 0.829
2 La 0.265 0.586 0.171
3 La 0.351 0.923 0.324
4 La 0.351 0.401 0.324
5 La 0.649 0.599 0.676
6 La 0.890 0.140 0.279
7 La 0.649 0.077 0.676
8 La 0.110 0.860 0.721
9 Tm 0.681 0.687 0.374
10 Tm 0.319 0.313 0.626
11 Tb 0.000 0.275 0.000
12 Tb 0.500 0.000 0.000
13 Tb 0.000 0.725 0.000

Values from the calculation:
offset from the most stable computed form = 0.000 eV/atom
electronic total energy = -4.645 eV/atom
DFT formation energy = 0.1438 eV/atom
calculated density = 6.99 g/cm3

---

Entry 8:
Entry from the Alexandria database: a relaxed La16Tb6Tm7 crystal (PBE-GGA).

a b c (Å): 11.445 11.445 11.445
angles (deg): 60.00 60.00 60.00
Element x y z (fractional)
1 La 0.874 0.377 0.874
2 La 0.874 0.874 0.377
3 La 0.377 0.874 0.874
4 La 0.648 0.648 0.648
5 La 0.648 0.648 0.057
6 La 0.352 0.943 0.352
7 La 0.352 0.352 0.352
8 La 0.352 0.352 0.943
9 La 0.874 0.874 0.874
10 La 0.126 0.623 0.126
11 La 0.057 0.648 0.648
12 La 0.126 0.126 0.126
13 La 0.648 0.057 0.648
14 La 0.623 0.126 0.126
15 La 0.943 0.352 0.352
16 La 0.126 0.126 0.623
17 Tm 0.000 0.500 0.500
18 Tm 0.000 0.500 0.000
19 Tm 0.500 0.500 0.000
20 Tm 0.500 0.000 0.000
21 Tm 0.500 0.000 0.500
22 Tm 0.000 0.000 0.000
23 Tm 0.000 0.000 0.500
24 Tb 0.259 0.259 0.741
25 Tb 0.741 0.259 0.741
26 Tb 0.741 0.741 0.259
27 Tb 0.259 0.741 0.259
28 Tb 0.741 0.259 0.259
29 Tb 0.259 0.741 0.741

Values from the calculation:
electronic total energy = -4.570 eV/atom
DFT formation energy = 0.1859 eV/atom
calculated density = 6.83 g/cm3

---

Entry 9:
Entry from the Alexandria database: a relaxed La2Tb12Tm crystal (PBE-GGA).

a b c (Å): 6.715 6.715 24.833
angles (deg): 90.00 90.00 115.89
Element x y z (fractional)
1 Tb 0.000 0.000 0.197
2 Tb 0.236 0.736 0.583
3 Tb 0.000 0.000 0.673
4 Tb 0.764 0.264 0.583
5 Tb 0.767 0.733 0.439
6 Tb 0.233 0.267 0.439
7 Tb 0.500 0.500 0.197
8 Tb 0.500 0.500 0.673
9 Tb 0.500 0.500 0.327
10 Tb 0.749 0.249 0.876
11 Tb 0.751 0.251 0.124
12 Tb 0.251 0.751 0.876
13 Tb 0.733 0.767 0.561
14 Tb 0.736 0.236 0.417
15 Tb 0.250 0.250 0.924
16 Tb 0.750 0.750 0.076
17 Tb 0.250 0.250 0.076
18 Tb 0.000 0.000 0.803
19 Tb 0.249 0.749 0.124
20 Tb 0.267 0.233 0.561
21 Tb 0.000 0.000 0.327
22 Tb 0.264 0.764 0.417
23 Tb 0.500 0.500 0.803
24 Tb 0.750 0.750 0.924
25 Tm 0.000 0.500 0.000
26 Tm 0.500 0.000 0.000
27 La 0.000 0.500 0.271
28 La 0.000 0.500 0.735
29 La 0.500 0.000 0.729
30 La 0.500 0.000 0.265

Values from the calculation:
electronic total energy = -4.503 eV/atom
DFT formation energy = 0.1567 eV/atom
calculated density = 7.76 g/cm3

---

Entry 10:
Entry from the Alexandria database: a relaxed LaTb6Tm crystal (PBE-GGA).

a b c (Å): 5.063 5.063 10.112
angles (deg): 90.00 90.00 90.00
Element x y z (fractional)
1 Tb 0.000 0.500 0.255
2 Tb 0.500 0.000 0.255
3 Tb 0.000 0.500 0.745
4 Tb 0.500 0.500 0.500
5 Tb 0.500 0.500 0.000
6 Tb 0.500 0.000 0.745
7 Tm 0.000 0.000 0.500
8 La 0.000 0.000 0.000

Values from the calculation:
offset from the most stable computed form = 0.000 eV/atom
electronic total energy = -4.619 eV/atom
DFT formation energy = 0.0284 eV/atom
calculated density = 8.08 g/cm3

---

Entry 11:
Entry from the Alexandria database: a relaxed La4Tb8Tm3 crystal (PBE-GGA).

a b c (Å): 6.806 9.355 9.355
angles (deg): 86.94 111.49 111.49
Element x y z (fractional)
1 Tm 0.500 0.000 0.500
2 Tm 0.500 0.500 0.000
3 Tm 0.500 0.500 0.500
4 Tb 0.521 0.268 0.268
5 Tb 0.000 0.637 0.363
6 Tb 0.500 0.744 0.256
7 Tb 0.500 0.256 0.744
8 Tb 0.004 0.274 0.274
9 Tb 0.000 0.363 0.637
10 Tb 0.479 0.732 0.732
11 Tb 0.996 0.726 0.726
12 La 0.500 0.000 0.000
13 La 0.000 0.000 0.000
14 La 0.000 0.000 0.500
15 La 0.000 0.500 0.000

Values from the calculation:
electronic total energy = -4.330 eV/atom
DFT formation energy = 0.3476 eV/atom
calculated density = 7.55 g/cm3

---

Entry 12:
Entry from the Alexandria database: a relaxed La4Tb2Tm3 crystal (PBE-GGA).

a b c (Å): 3.655 11.783 8.865
angles (deg): 126.15 89.90 90.98
Element x y z (fractional)
1 Tb 0.781 0.275 0.572
2 Tb 0.219 0.725 0.428
3 La 0.763 0.884 0.244
4 La 0.775 0.407 0.274
5 La 0.237 0.116 0.756
6 La 0.225 0.593 0.726
7 Tm 0.261 0.120 0.177
8 Tm 0.500 0.500 0.000
9 Tm 0.739 0.880 0.823

Values from the calculation:
offset from the most stable computed form = 0.075 eV/atom
electronic total energy = -4.602 eV/atom
DFT formation energy = 0.1076 eV/atom
calculated density = 7.44 g/cm3

---

Entry 13:
Entry from the Alexandria database: a relaxed La4Tb4Tm crystal (PBE-GGA).

a b c (Å): 5.154 8.114 8.114
angles (deg): 84.21 71.48 71.48
Element x y z (fractional)
1 Tm 0.000 0.000 0.000
2 La 0.667 0.000 0.666
3 La 0.333 0.334 0.000
4 La 0.667 0.666 0.000
5 La 0.333 0.000 0.334
6 Tb 0.000 0.665 0.335
7 Tb 0.665 0.335 0.335
8 Tb 0.335 0.665 0.665
9 Tb 0.000 0.335 0.665

Values from the calculation:
offset from the most stable computed form = 0.000 eV/atom
electronic total energy = -4.719 eV/atom
DFT formation energy = 0.0258 eV/atom
calculated density = 7.40 g/cm3

---

Entry 14:
Entry from the Alexandria database: a relaxed La4Tb4Tm crystal (PBE-GGA).

a b c (Å): 5.494 5.494 12.362
angles (deg): 102.84 102.84 90.00
Element x y z (fractional)
1 La 0.748 0.748 0.496
2 La 0.500 0.000 0.000
3 La 0.000 0.500 0.000
4 La 0.252 0.252 0.504
5 Tb 0.622 0.622 0.746
6 Tb 0.378 0.876 0.254
7 Tb 0.876 0.378 0.254
8 Tb 0.124 0.124 0.746
9 Tm 0.000 0.000 0.000

Values from the calculation:
offset from the most stable computed form = 0.721 eV/atom
electronic total energy = -3.998 eV/atom
DFT formation energy = 0.7468 eV/atom
calculated density = 6.38 g/cm3

---

Entry 15:
Entry from the Alexandria database: a relaxed La4TbTm4 crystal (PBE-GGA).

a b c (Å): 5.137 8.071 8.071
angles (deg): 84.19 71.44 71.44
Element x y z (fractional)
1 La 0.330 0.670 0.670
2 La 0.670 0.330 0.330
3 La 0.000 0.330 0.670
4 La 0.000 0.670 0.330
5 Tm 0.664 0.672 0.000
6 Tm 0.664 0.000 0.672
7 Tm 0.336 0.328 0.000
8 Tm 0.336 0.000 0.328
9 Tb 0.000 0.000 0.000

Values from the calculation:
offset from the most stable computed form = 0.000 eV/atom
electronic total energy = -4.657 eV/atom
DFT formation energy = 0.0347 eV/atom
calculated density = 7.68 g/cm3

---

Entry 16:
Entry from the Alexandria database: a relaxed La15TbTm4 crystal (PBE-GGA).

a b c (Å): 5.192 5.192 25.967
angles (deg): 90.00 90.00 90.00
Element x y z (fractional)
1 Tb 0.000 0.000 0.000
2 La 0.500 0.000 0.300
3 La 0.000 0.500 0.100
4 La 0.000 0.500 0.700
5 La 0.500 0.500 0.600
6 La 0.500 0.500 0.400
7 La 0.000 0.500 0.500
8 La 0.500 0.000 0.500
9 La 0.500 0.500 0.800
10 La 0.500 0.500 0.200
11 La 0.000 0.500 0.300
12 La 0.500 0.000 0.700
13 La 0.000 0.500 0.900
14 La 0.500 0.500 0.000
15 La 0.500 0.000 0.900
16 La 0.500 0.000 0.100
17 Tm 0.000 0.000 0.800
18 Tm 0.000 0.000 0.200
19 Tm 0.000 0.000 0.400
20 Tm 0.000 0.000 0.600

Values from the calculation:
electronic total energy = -4.815 eV/atom
DFT formation energy = 0.0065 eV/atom
calculated density = 6.92 g/cm3

---

Entry 17:
Entry from the Alexandria database: a relaxed La7Tb2Tm crystal (PBE-GGA).

a b c (Å): 3.552 10.477 10.477
angles (deg): 108.80 90.00 90.00
Element x y z (fractional)
1 Tm 0.000 0.000 0.000
2 La 0.000 0.681 0.319
3 La 0.000 0.319 0.681
4 La 0.500 0.125 0.383
5 La 0.500 0.875 0.617
6 La 0.500 0.500 0.500
7 La 0.500 0.617 0.875
8 La 0.500 0.383 0.125
9 Tb 0.500 0.165 0.835
10 Tb 0.500 0.835 0.165

Values from the calculation:
offset from the most stable computed form = 0.000 eV/atom
electronic total energy = -4.492 eV/atom
DFT formation energy = 0.3304 eV/atom
calculated density = 6.56 g/cm3

---

Entry 18:
Entry from the Alexandria database: a relaxed La5TbTm4 crystal (PBE-GGA).

a b c (Å): 3.701 3.701 24.639
angles (deg): 90.00 90.00 90.00
Element x y z (fractional)
1 La 0.500 0.500 0.699
2 La 0.500 0.500 0.898
3 La 0.500 0.500 0.102
4 La 0.500 0.500 0.301
5 La 0.500 0.500 0.500
6 Tm 0.000 0.000 0.599
7 Tm 0.000 0.000 0.202
8 Tm 0.000 0.000 0.798
9 Tm 0.000 0.000 0.401
10 Tb 0.000 0.000 0.000

Values from the calculation:
electronic total energy = -4.687 eV/atom
DFT formation energy = 0.0279 eV/atom
calculated density = 7.53 g/cm3